(1)
{
  "formula": "AgPb3C",
  "functional": "PBE",
  "state": "relaxed",
  "cell": [[-0.6141, -4.1033, -2.8768], [-1.9790, -2.4642, 3.9372], [-4.6040, 1.6065, -1.3087]],
  "species": ["Pb", "Pb", "Pb", "C", "Ag"],
  "fractional_positions": [[0.0000, 0.0000, 0.5000], [0.5000, 0.0000, 0.0000], [0.0000, 0.5000, 0.0000], [0.0000, 0.0000, 0.0000], [0.5000, 0.5000, 0.5000]],
  "polymorph_energy_ev_per_atom": 0.000,
  "formation_enthalpy_0k_kj_per_mol_fu": 465.7,
  "crystal_system": "cubic"
}

(2)
{
  "formula": "AgPb3C",
  "functional": "PBE",
  "state": "relaxed",
  "cell": [[-4.4849, -2.8042, 1.4550], [3.0701, -4.4645, 0.8590], [0.7450, 1.5165, 5.2192]],
  "species": ["Pb", "Pb", "Pb", "Ag", "C"],
  "fractional_positions": [[0.0000, 0.5000, 0.0000], [0.0000, 0.0000, 0.5000], [0.5000, 0.0000, 0.0000], [0.0000, 0.0000, 0.0000], [0.5000, 0.5000, 0.5000]],
  "polymorph_energy_ev_per_atom": 0.698,
  "formation_enthalpy_0k_kj_per_mol_fu": 802.6,
  "crystal_system": "cubic"
}

Going through the records in order, we get density values of 9.57 7.46 g/cm³.